NdSnGeAu | GGA-PBE | optimized geometry

Lattice parameters (Å, degrees): 5.1254 5.1254 5.1254 60.00 60.00 60.00
Closest atoms and distances in Å follow each position.
Sites, in units of the cell vectors:
Nd  0.0000  0.0000  0.0000  4 Ge 3.14, 4 Au 3.14
Sn  0.5000  0.5000  0.5000  4 Ge 3.14, 4 Au 3.14
Ge  0.7500  0.7500  0.7500  4 Nd 3.14, 4 Sn 3.14
Au  0.2500  0.2500  0.2500  4 Sn 3.14, 4 Nd 3.14

Results
As for the density of states at the Fermi level: 3.154 states/eV per cell. The theoretical density comes out at 9.288 g cm⁻³. For the magnetic moment, the calculation gives 0.0 μB per formula unit. The calculation puts the total energy at -18.31 eV for the cell shown. The calculation puts the energy of formation from the pure elements at -1.6 eV per formula unit.